NaSrFeBiO6: relaxed, PBE with a Hubbard U.

Symmetry ... F-43m
E ... -56.30 eV/cell

```
NaSrFeBiO6
1.0
0.0000 4.0892 4.0892
4.0892 0.0000 4.0892
4.0892 4.0892 0.0000
Na Sr Fe Bi O
1 1 1 1 6
direct
0.0000 0.0000 0.0000
0.5000 0.5000 0.5000
0.2500 0.2500 0.2500
0.7500 0.7500 0.7500
0.0071 0.0071 0.4929
0.0071 0.4929 0.0071
0.0071 0.4929 0.4929
0.4929 0.0071 0.0071
0.4929 0.0071 0.4929
0.4929 0.4929 0.0071
```